Here is an optimized crystal structure of Hf2BiSe6 from Alexandria. Energies are from PBE.

a = 9.3558 Å, b = 9.3558 Å, c = 8.0048 Å
α = 106.45°, β = 106.45°, γ = 23.34°
Fractional positions:
Hf 0.1695 0.1695 0.3390
Hf 0.8305 0.8305 0.6610
Bi 0.5000 0.5000 0.0000
Se 0.0189 0.0189 0.2836
Se 0.3234 0.3234 0.4150
Se 0.3325 0.3325 0.8981
Se 0.6675 0.6675 0.1019
Se 0.6766 0.6766 0.5850
Se 0.9811 0.9811 0.7164

Output
electronic total energy	-53.145	eV/cell
mass density	6.50	g/cm3
energy relative to the elements, uncorrected	-0.939	eV/atom
symmetry	C2/m, No. 12
crystal system	monoclinic
total moment	0.00	μB/cell